# Sm6ScCd5

An optimized crystal structure of Sm6ScCd5 (PBE, the Alexandria database).

The space group is Immm (No. 71) and the conventional cell measures 5.352, 7.734 and 16.194 Å, with angles of 90.00, 90.00 and 90.00 degrees. The distinct sites, in fractional coordinates, are Sm at (0.000, 0.242, 0.000), Sm at (0.000, 0.252, 0.331), Sc at (0.000, 0.000, 0.500), Cd at (0.000, 0.000, 0.166), Cd at (0.000, 0.500, 0.157) and Cd at (0.000, 0.500, 0.500).

The value obtained for the calculated formation energy is -270.4 kJ/mol of formula units.